# 1
# KP (PBE-GGA, optimized geometry)
# * magnetization: 0.00 μB per cell
# * relative energy among the computed polymorphs: 728 meV per atom
# * D(E_F): 1.2 states/eV/f.u.
# * ΔH_f (0 K): 0.308 eV/atom
# * V: 206.6 Å³/cell
# * energy: -2.945 eV per atom
data_KP
_cell_length_a 4.8525
_cell_length_b 4.8525
_cell_length_c 8.7741
_cell_angle_alpha 90.00
_cell_angle_beta 90.00
_cell_angle_gamma 90.00
_space_group_name_H-M_alt 'I 41/a m d'
_space_group_IT_number 141
loop_
_space_group_symop_operation_xyz
'x,y,z'
'-x,-y,-z'
'-y+1/4,x+3/4,z+1/4'
'y+1/4,-x+3/4,-z+1/4'
'-x+1/2,-y,z+1/2'
'x+1/2,y,-z+1/2'
'y+1/4,-x+1/4,z+3/4'
'-y+1/4,x+1/4,-z+3/4'
'x,-y,-z'
'-x,y,z'
'-y+1/4,-x+1/4,-z+3/4'
'y+1/4,x+1/4,z+3/4'
'-x+1/2,y,-z+1/2'
'x+1/2,-y,z+1/2'
'y+1/4,x+3/4,-z+1/4'
'-y+1/4,-x+3/4,z+1/4'
'x+1/2,y+1/2,z+1/2'
'-x+1/2,-y+1/2,-z+1/2'
'-y+3/4,x+1/4,z+3/4'
'y+3/4,-x+1/4,-z+3/4'
'-x,-y+1/2,z'
'x,y+1/2,-z'
'y+3/4,-x+3/4,z+1/4'
'-y+3/4,x+3/4,-z+1/4'
'x+1/2,-y+1/2,-z+1/2'
'-x+1/2,y+1/2,z+1/2'
'-y+3/4,-x+3/4,-z+1/4'
'y+3/4,x+3/4,z+1/4'
'-x,y+1/2,-z'
'x,-y+1/2,z'
'y+3/4,x+1/4,-z+3/4'
'-y+3/4,-x+1/4,z+3/4'
loop_
_atom_site_label
_atom_site_type_symbol
_atom_site_fract_x
_atom_site_fract_y
_atom_site_fract_z
K1 K 0.0000 0.2500 0.3750
P1 P 0.0000 0.2500 0.8750

=====

# 2
# K2P (PBE-GGA, optimized geometry)
# * magnetization: 0.00 μB per cell
# * relative energy among the computed polymorphs: 204 meV per atom
# * D(E_F): 1.7 states/eV/f.u.
# * ΔH_f (0 K): -0.044 eV/atom
# * V: 392.3 Å³/cell
# * energy: -2.579 eV per atom
data_K2P
_cell_length_a 7.0172
_cell_length_b 5.3610
_cell_length_c 10.4293
_cell_angle_alpha 90.00
_cell_angle_beta 90.00
_cell_angle_gamma 90.00
_space_group_name_H-M_alt 'P n m a'
_space_group_IT_number 62
loop_
_space_group_symop_operation_xyz
'x,y,z'
'-x,-y,-z'
'-x+1/2,-y,z+1/2'
'x+1/2,y,-z+1/2'
'x+1/2,-y+1/2,-z+1/2'
'-x+1/2,y+1/2,z+1/2'
'-x,y+1/2,-z'
'x,-y+1/2,z'
loop_
_atom_site_label
_atom_site_type_symbol
_atom_site_fract_x
_atom_site_fract_y
_atom_site_fract_z
K1 K 0.0588 0.2500 0.1772
K2 K 0.1669 0.2500 0.5299
P1 P 0.2377 0.2500 0.8285

=====

# 3
# K3P (PBE-GGA, optimized geometry)
# * magnetization: 0.00 μB per cell
# * D(E_F): 3.0 states/eV/f.u.
# * ΔH_f (0 K): -0.217 eV/atom
# * V: 286.5 Å³/cell
# * energy: -2.392 eV per atom
data_K3P
_cell_length_a 5.7179
_cell_length_b 5.7179
_cell_length_c 10.1201
_cell_angle_alpha 90.00
_cell_angle_beta 90.00
_cell_angle_gamma 120.00
_space_group_name_H-M_alt 'P 63/m m c'
_space_group_IT_number 194
_space_group_name_Hall '-P 6c 2c'
loop_
_atom_site_label
_atom_site_type_symbol
_atom_site_fract_x
_atom_site_fract_y
_atom_site_fract_z
K1 K 0.0000 0.0000 0.2500
K2 K 0.3333 0.6667 0.0786
P1 P 0.3333 0.6667 0.7500

=====

# 4
# KP (PBE-GGA, optimized geometry)
# * magnetization: 0.00 μB per cell
# * relative energy among the computed polymorphs: 818 meV per atom
# * D(E_F): 1.7 states/eV/f.u.
# * ΔH_f (0 K): 0.399 eV/atom
# * V: 55.0 Å³/cell
# * energy: -2.855 eV per atom
data_KP
_cell_length_a 3.8028
_cell_length_b 3.8028
_cell_length_c 3.8028
_cell_angle_alpha 90.00
_cell_angle_beta 90.00
_cell_angle_gamma 90.00
_space_group_name_H-M_alt 'P m -3 m'
_space_group_IT_number 221
_space_group_name_Hall '-P 4 2 3'
loop_
_atom_site_label
_atom_site_type_symbol
_atom_site_fract_x
_atom_site_fract_y
_atom_site_fract_z
K1 K 0.0000 0.0000 0.0000
P1 P 0.5000 0.5000 0.5000

=====

# 5
# KP (PBE-GGA, optimized geometry)
# * magnetization: 0.00 μB per cell
# * relative energy among the computed polymorphs: 191 meV per atom
# * D(E_F): 0.2 states/eV/f.u.
# * ΔH_f (0 K): -0.228 eV/atom
# * V: 557.9 Å³/cell
# * energy: -3.482 eV per atom
data_KP
_cell_length_a 11.6852
_cell_length_b 11.6852
_cell_length_c 4.0859
_cell_angle_alpha 90.00
_cell_angle_beta 90.00
_cell_angle_gamma 90.00
_space_group_name_H-M_alt 'P 4/m'
_space_group_IT_number 83
loop_
_space_group_symop_operation_xyz
'x,y,z'
'-x,-y,-z'
'-y,x,z'
'y,-x,-z'
'-x,-y,z'
'x,y,-z'
'y,-x,z'
'-y,x,-z'
loop_
_atom_site_label
_atom_site_type_symbol
_atom_site_fract_x
_atom_site_fract_y
_atom_site_fract_z
K1 K 0.0022 0.2721 0.0000
K2 K 0.3198 0.6754 0.5000
P1 P 0.0899 0.4620 0.5000
P2 P 0.1706 0.5149 0.0000

=====

# 6
# KP (PBE-GGA, optimized geometry)
# * magnetization: 0.00 μB per cell
# * relative energy among the computed polymorphs: 801 meV per atom
# * D(E_F): 0.5 states/eV/f.u.
# * ΔH_f (0 K): 0.381 eV/atom
# * V: 148.8 Å³/cell
# * energy: -2.872 eV per atom
data_KP
_cell_length_a 3.2927
_cell_length_b 3.2927
_cell_length_c 15.8440
_cell_angle_alpha 90.00
_cell_angle_beta 90.00
_cell_angle_gamma 120.00
_space_group_name_H-M_alt 'R -3 m'
_space_group_IT_number 166
_space_group_name_Hall '-R 3 2"'
loop_
_atom_site_label
_atom_site_type_symbol
_atom_site_fract_x
_atom_site_fract_y
_atom_site_fract_z
K1 K 0.0000 0.0000 0.0000
P1 P 0.0000 0.0000 0.5000

=====

# 7
# KP7 (PBE-GGA, optimized geometry)
# * magnetization: 0.00 μB per cell
# * D(E_F): 4.4 states/eV/f.u.
# * ΔH_f (0 K): 0.866 eV/atom
# * V: 535.6 Å³/cell
# * energy: -4.005 eV per atom
data_KP7
_cell_length_a 8.1210
_cell_length_b 8.1210
_cell_length_c 8.1210
_cell_angle_alpha 90.00
_cell_angle_beta 90.00
_cell_angle_gamma 90.00
_space_group_name_H-M_alt 'F m -3 m'
_space_group_IT_number 225
_space_group_name_Hall '-F 4 2 3'
loop_
_atom_site_label
_atom_site_type_symbol
_atom_site_fract_x
_atom_site_fract_y
_atom_site_fract_z
K1 K 0.0000 0.0000 0.0000
P1 P 0.0000 0.0000 0.5000
P2 P 0.0000 0.2500 0.2500

=====

# 8
# K3P (PBE-GGA, optimized geometry)
# * magnetization: 0.00 μB per cell
# * D(E_F): 1.8 states/eV/f.u.
# * ΔH_f (0 K): 0.039 eV/atom
# * V: 186.4 Å³/cell
# * energy: -2.136 eV per atom
data_K3P
_cell_length_a 4.0328
_cell_length_b 4.0328
_cell_length_c 11.4628
_cell_angle_alpha 90.00
_cell_angle_beta 90.00
_cell_angle_gamma 90.00
_space_group_name_H-M_alt 'P 4/m m m'
_space_group_IT_number 123
_space_group_name_Hall '-P 4 2'
loop_
_atom_site_label
_atom_site_type_symbol
_atom_site_fract_x
_atom_site_fract_y
_atom_site_fract_z
K1 K 0.0000 0.0000 0.0000
K2 K 0.5000 0.5000 0.3493
P1 P 0.0000 0.0000 0.5000

=====

# 9
# KP5 (PBE-GGA, optimized geometry)
# * magnetization: 0.00 μB per cell
# * relative energy among the computed polymorphs: 89 meV per atom
# * D(E_F): 1.9 states/eV/f.u.
# * ΔH_f (0 K): 0.049 eV/atom
# * V: 267.6 Å³/cell
# * energy: -4.642 eV per atom
data_KP5
_cell_length_a 4.5882
_cell_length_b 3.3214
_cell_length_c 17.5601
_cell_angle_alpha 90.00
_cell_angle_beta 90.00
_cell_angle_gamma 90.00
_space_group_name_H-M_alt 'A m m 2'
_space_group_IT_number 38
loop_
_space_group_symop_operation_xyz
'x,y,z'
'-x,-y,z'
'-x,y,z'
'x,-y,z'
'x,y+1/2,z+1/2'
'-x,-y+1/2,z+1/2'
'-x,y+1/2,z+1/2'
'x,-y+1/2,z+1/2'
loop_
_atom_site_label
_atom_site_type_symbol
_atom_site_fract_x
_atom_site_fract_y
_atom_site_fract_z
K1 K 0.0000 0.0000 0.0000
P1 P 0.0000 0.0000 0.2555
P2 P 0.0000 0.0000 0.6694
P3 P 0.5000 0.0000 0.2900
P4 P 0.5000 0.0000 0.6290
P5 P 0.5000 0.0000 0.8715

=====

# 10
# KP5 (PBE-GGA, optimized geometry)
# * magnetization: 0.00 μB per cell
# * relative energy among the computed polymorphs: 208 meV per atom
# * D(E_F): 1.5 states/eV/f.u.
# * ΔH_f (0 K): 0.168 eV/atom
# * V: 111.9 Å³/cell
# * energy: -4.523 eV per atom
data_KP5
_cell_length_a 6.3415
_cell_length_b 6.3415
_cell_length_c 3.2124
_cell_angle_alpha 90.00
_cell_angle_beta 90.00
_cell_angle_gamma 120.00
_space_group_name_H-M_alt 'P -6 2 m'
_space_group_IT_number 189
_space_group_name_Hall 'P -6 -2'
loop_
_atom_site_label
_atom_site_type_symbol
_atom_site_fract_x
_atom_site_fract_y
_atom_site_fract_z
K1 K 0.0000 0.0000 0.0000
P1 P 0.0000 0.4534 0.5000
P2 P 0.3333 0.6667 0.0000

=====

# 11
# K2P (PBE-GGA, optimized geometry)
# * magnetization: 0.00 μB per cell
# * relative energy among the computed polymorphs: 732 meV per atom
# * D(E_F): 1.5 states/eV/f.u.
# * ΔH_f (0 K): 0.484 eV/atom
# * V: 400.8 Å³/cell
# * energy: -2.051 eV per atom
data_K2P
_cell_length_a 6.5931
_cell_length_b 6.5931
_cell_length_c 10.6466
_cell_angle_alpha 90.00
_cell_angle_beta 90.00
_cell_angle_gamma 120.00
_space_group_name_H-M_alt 'P 63/m m c'
_space_group_IT_number 194
_space_group_name_Hall '-P 6c 2c'
loop_
_atom_site_label
_atom_site_type_symbol
_atom_site_fract_x
_atom_site_fract_y
_atom_site_fract_z
K1 K 0.0000 0.0000 0.0000
K2 K 0.1796 0.3592 0.2500
P1 P 0.3333 0.6667 0.5128

=====

# 12
# K2P (PBE-GGA, optimized geometry)
# * magnetization: 0.00 μB per cell
# * relative energy among the computed polymorphs: 203 meV per atom
# * D(E_F): 2.5 states/eV/f.u.
# * ΔH_f (0 K): -0.046 eV/atom
# * V: 178.2 Å³/cell
# * energy: -2.581 eV per atom
data_K2P
_cell_length_a 3.5495
_cell_length_b 4.9512
_cell_length_c 10.1413
_cell_angle_alpha 90.00
_cell_angle_beta 90.00
_cell_angle_gamma 90.00
_space_group_name_H-M_alt 'I m m m'
_space_group_IT_number 71
_space_group_name_Hall '-I 2 2'
loop_
_atom_site_label
_atom_site_type_symbol
_atom_site_fract_x
_atom_site_fract_y
_atom_site_fract_z
K1 K 0.0000 0.0000 0.1535
P1 P 0.0000 0.0000 0.5000

=====

Which of these has the lowest V?
number 4

=====

What is the magnetization in the fourth record?
0.00 μB per cell

=====

Repeat the third record exactly.
# K3P (PBE-GGA, optimized geometry)
# * magnetization: 0.00 μB per cell
# * D(E_F): 3.0 states/eV/f.u.
# * ΔH_f (0 K): -0.217 eV/atom
# * V: 286.5 Å³/cell
# * energy: -2.392 eV per atom
data_K3P
_cell_length_a 5.7179
_cell_length_b 5.7179
_cell_length_c 10.1201
_cell_angle_alpha 90.00
_cell_angle_beta 90.00
_cell_angle_gamma 120.00
_space_group_name_H-M_alt 'P 63/m m c'
_space_group_IT_number 194
_space_group_name_Hall '-P 6c 2c'
loop_
_atom_site_label
_atom_site_type_symbol
_atom_site_fract_x
_atom_site_fract_y
_atom_site_fract_z
K1 K 0.0000 0.0000 0.2500
K2 K 0.3333 0.6667 0.0786
P1 P 0.3333 0.6667 0.7500